# 1
LiCuBiIr: relaxed, PBE-GGA.

calculated total energy	-4.481	eV/atom
offset from the most stable computed form	0.038	eV/atom
volume	255.82	Å³ per cell

```
data_LiCuBiIr
_chemical_formula_sum 'Li4 Cu4 Bi4 Ir4'
_space_group_name_H-M_alt 'F -4 3 m'
_space_group_IT_number 216
_space_group_name_Hall 'F -4 2 3'
_cell_length_a 6.348
_cell_length_b 6.348
_cell_length_c 6.348
_cell_angle_alpha 90.00
_cell_angle_beta 90.00
_cell_angle_gamma 90.00
loop_
_atom_site_label
_atom_site_fract_x
_atom_site_fract_y
_atom_site_fract_z
Li1 0.000 0.000 0.000
Cu1 0.000 0.000 0.500
Bi1 0.250 0.250 0.250
Ir1 0.250 0.250 0.750
```

# 2
Lu4CdAuC2: relaxed, PBE-GGA.

calculated total energy	-5.563	eV/atom
volume	160.71	Å³ per cell

```
data_Lu4CdAuC2
_chemical_formula_sum 'Lu4 Cd1 Au1 C2'
_space_group_name_H-M_alt 'P -6 m 2'
_space_group_IT_number 187
_space_group_name_Hall 'P -6 2'
_cell_length_a 3.5350
_cell_length_b 3.5350
_cell_length_c 14.8497
_cell_angle_alpha 90.00
_cell_angle_beta 90.00
_cell_angle_gamma 120.00
loop_
_atom_site_label
_atom_site_fract_x
_atom_site_fract_y
_atom_site_fract_z
Lu1 0.0000 0.0000 0.1475
Lu2 0.6667 0.3333 0.3228
Cd1 0.0000 0.0000 0.5000
Au1 0.6667 0.3333 0.0000
C1 0.3333 0.6667 0.2335
```

# 3
TbErTlNi2: relaxed, PBE-GGA.

calculated total energy	-5.020	eV/atom
volume	205.51	Å³ per cell

```
data_TbErTlNi2
_chemical_formula_sum 'Tb2 Er2 Tl2 Ni4'
_space_group_name_H-M_alt 'A m m 2'
_space_group_IT_number 38
_cell_length_a 3.667
_cell_length_b 3.892
_cell_length_c 14.399
_cell_angle_alpha 90.00
_cell_angle_beta 90.00
_cell_angle_gamma 90.00
loop_
_space_group_symop_operation_xyz
'x,y,z'
'-x,-y,z'
'-x,y,z'
'x,-y,z'
'x,y+1/2,z+1/2'
'-x,-y+1/2,z+1/2'
'-x,y+1/2,z+1/2'
'x,-y+1/2,z+1/2'
loop_
_atom_site_label
_atom_site_fract_x
_atom_site_fract_y
_atom_site_fract_z
Tb1 0.000 0.000 0.000
Er1 0.000 0.000 0.721
Tl1 0.500 0.000 0.360
Ni1 0.500 0.000 0.162
Ni2 0.500 0.000 0.563
```